1.
# HoGa2Ir, optimized geometry, DFT PBE
data_HoGa2Ir
_chemical_formula_sum 'Ho1 Ga2 Ir1'
_cell_length_a 4.235
_cell_length_b 4.235
_cell_length_c 5.449
_cell_angle_alpha 67.13
_cell_angle_beta 67.13
_cell_angle_gamma 60.00
_symmetry_space_group_name_H-M 'P 1'
_symmetry_Int_Tables_number 1
_symmetry_space_group_name_Hall 'P 1'
loop_
_atom_site_label
_atom_site_type_symbol
_atom_site_fract_x
_atom_site_fract_y
_atom_site_fract_z
Ga1 Ga 0.782 0.782 0.654
Ho1 Ho 0.000 0.000 0.000
Ga2 Ga 0.218 0.218 0.346
Ir1 Ir 0.500 0.500 0.500
# Density of states at the Fermi level, states/eV/f.u.: 3.02
# M_tot, μB/f.u.: 0.0
# Energy relative to the elements, eV per atom: -0.646

2.
# HoLuPdRh, optimized geometry, DFT PBE
data_HoLuPdRh
_chemical_formula_sum 'Ho1 Lu1 Pd1 Rh1'
_cell_length_a 4.840
_cell_length_b 4.840
_cell_length_c 4.840
_cell_angle_alpha 60.00
_cell_angle_beta 60.00
_cell_angle_gamma 60.00
_symmetry_space_group_name_H-M 'P 1'
_symmetry_Int_Tables_number 1
_symmetry_space_group_name_Hall 'P 1'
loop_
_atom_site_label
_atom_site_type_symbol
_atom_site_fract_x
_atom_site_fract_y
_atom_site_fract_z
Pd1 Pd 0.000 0.000 0.000
Lu1 Lu 0.750 0.750 0.750
Ho1 Ho 0.250 0.250 0.250
Rh1 Rh 0.500 0.500 0.500
# Density of states at the Fermi level, states/eV/f.u.: 1.55
# M_tot, μB/f.u.: 0.0
# Energy relative to the elements, eV per atom: -0.945

Question: M_tot of number 1 (HoGa2Ir)?
Answer: 0.0 μB/f.u.